# 1
Density functional theory data (PBE) for Pr2Nd2Se3O4 after structural relaxation.

The total energy comes out at -79.51 eV/cell.

Lattice parameters (Å, degrees): 8.4734 6.8051 6.8051 34.48 90.00 90.00
With the nearest neighbours (Å) after each atom.
Positions (direct):
Nd 0.2628 0.6842 0.6842  4 O 2.36-2.39
Nd 0.7372 0.6842 0.6842  4 O 2.36-2.39
O 0.2562 0.0889 0.0889  2 Pr 2.37, 2 Nd 2.37
O 0.7438 0.0889 0.0889  2 Pr 2.37, 2 Nd 2.37
O 0.5000 0.5889 0.5889  2 Pr 2.32, 2 Nd 2.36
O 0.0000 0.6166 0.6166  2 Nd 2.39, 2 Pr 2.40
Pr 0.5000 0.0000 0.0000  4 O 2.32-2.37
Pr 0.0000 0.0166 0.0166  4 O 2.37-2.40
Se 0.5000 0.3129 0.3129  2 Se 3.03, 2 Pr 3.16, 4 Nd 3.30
Se 0.1492 0.3567 0.3567  1 Se 2.53
Se 0.8508 0.3567 0.3567  1 Se 2.53

=====

# 2
Density functional theory data (PBE) for PrNd3Se3O4 after structural relaxation.

The total energy comes out at -79.56 eV/cell.

Lattice parameters (Å, degrees): 8.4614 6.7881 6.7881 34.44 90.00 90.00
With the nearest neighbours (Å) after each atom.
Positions (direct):
Nd 0.5000 0.0175 0.0175  4 O 2.35-2.38
Nd 0.2374 0.6841 0.6841  4 O 2.35-2.39
Nd 0.7626 0.6841 0.6841  4 O 2.35-2.39
O 0.2450 0.0889 0.0889  3 Nd 2.35-2.36, 1 Pr 2.38
O 0.7550 0.0889 0.0889  3 Nd 2.35-2.36, 1 Pr 2.38
O 0.0000 0.5893 0.5893  2 Pr 2.32, 2 Nd 2.35
O 0.5000 0.6160 0.6160  4 Nd 2.38-2.39
Pr 0.0000 0.9995 0.9995  4 O 2.32-2.38
Se 0.0000 0.3127 0.3127  2 Se 3.02, 2 Pr 3.15, 4 Nd 3.29
Se 0.3507 0.3569 0.3569  1 Se 2.53
Se 0.6493 0.3569 0.3569  1 Se 2.53

=====

# 3
Density functional theory data (PBE) for Pr2Nd2Se3O4 after structural relaxation.

The total energy comes out at -79.53 eV/cell.

Lattice parameters (Å, degrees): 8.4767 6.8028 6.8028 34.48 90.00 90.00
With the nearest neighbours (Å) after each atom.
Positions (direct):
Nd 0.0000 0.0007 0.0007  4 O 2.31-2.36
Nd 0.5000 0.0170 0.0170  4 O 2.36-2.39
O 0.2439 0.0879 0.0879  2 Nd 2.36, 2 Pr 2.38
O 0.7561 0.0879 0.0879  2 Nd 2.36, 2 Pr 2.38
O 0.0000 0.5879 0.5879  2 Nd 2.31, 2 Pr 2.37
O 0.5000 0.6158 0.6158  2 Nd 2.39, 2 Pr 2.40
Pr 0.2372 0.6847 0.6847  4 O 2.37-2.40
Pr 0.7628 0.6847 0.6847  4 O 2.37-2.40
Se 0.0000 0.3135 0.3135  2 Se 3.03, 2 Nd 3.16, 4 Pr 3.30
Se 0.3512 0.3573 0.3573  1 Se 2.52
Se 0.6488 0.3573 0.3573  1 Se 2.52

=====

# 4
Density functional theory data (PBE) for PrNd3Se3O4 after structural relaxation.

The total energy comes out at -79.56 eV/cell.

Lattice parameters (Å, degrees): 8.4645 6.7871 6.7871 34.51 90.00 90.00
With the nearest neighbours (Å) after each atom.
Positions (direct):
Nd 0.5000 0.0012 0.0012  4 O 2.31-2.35
Nd 0.2632 0.6840 0.6840  4 O 2.36-2.39
Nd 0.7368 0.6840 0.6840  4 O 2.36-2.39
O 0.2574 0.0888 0.0888  3 Nd 2.35-2.36, 1 Pr 2.37
O 0.7426 0.0888 0.0888  3 Nd 2.35-2.36, 1 Pr 2.37
O 0.5000 0.5886 0.5886  4 Nd 2.31-2.36
O 0.0000 0.6172 0.6172  2 Nd 2.39, 2 Pr 2.40
Pr 0.0000 0.0164 0.0164  4 O 2.37-2.40
Se 0.5000 0.3136 0.3136  2 Se 3.02, 6 Nd 3.16-3.30
Se 0.1496 0.3559 0.3559  1 Se 2.53
Se 0.8504 0.3559 0.3559  1 Se 2.53

=====

# 5
Density functional theory data (PBE) for Pr2NdSmSe3O4 after structural relaxation.

The total energy comes out at -79.57 eV/cell.

Lattice parameters (Å, degrees): 8.4647 6.7841 6.7841 34.44 90.00 90.00
With the nearest neighbours (Å) after each atom.
Positions (direct):
Nd 0.0000 0.0004 0.0004  4 O 2.31-2.37
O 0.2463 0.0867 0.0867  1 Sm 2.32, 1 Nd 2.37, 2 Pr 2.38
O 0.7537 0.0867 0.0867  1 Sm 2.32, 1 Nd 2.37, 2 Pr 2.38
O 0.0000 0.5878 0.5878  2 Nd 2.31, 2 Pr 2.38
O 0.5000 0.6136 0.6136  2 Sm 2.35, 2 Pr 2.40
Pr 0.2379 0.6849 0.6849  4 O 2.38-2.40
Pr 0.7621 0.6849 0.6849  4 O 2.38-2.40
Se 0.0000 0.3136 0.3136  2 Se 3.03, 2 Nd 3.15, 4 Pr 3.30
Se 0.3518 0.3586 0.3586  1 Se 2.51
Se 0.6482 0.3586 0.3586  1 Se 2.51
Sm 0.5000 0.0188 0.0188  4 O 2.32-2.35

=====

# 6
Density functional theory data (PBE) for Pr2NdSmSe3O4 after structural relaxation.

The total energy comes out at -79.57 eV/cell.

Lattice parameters (Å, degrees): 8.4718 6.7675 6.7675 34.53 90.00 90.00
With the nearest neighbours (Å) after each atom.
Positions (direct):
Nd 0.0000 0.0168 0.0168  4 O 2.36-2.38
O 0.2579 0.0864 0.0864  1 Sm 2.32, 1 Nd 2.36, 2 Pr 2.38
O 0.7421 0.0864 0.0864  1 Sm 2.32, 1 Nd 2.36, 2 Pr 2.38
O 0.5000 0.5866 0.5866  2 Sm 2.28, 2 Pr 2.37
O 0.0000 0.6154 0.6154  2 Nd 2.38, 2 Pr 2.41
Pr 0.2635 0.6846 0.6846  4 O 2.37-2.41
Pr 0.7365 0.6846 0.6846  4 O 2.37-2.41
Se 0.5000 0.3162 0.3162  2 Se 3.03, 2 Sm 3.14, 4 Pr 3.31
Se 0.1483 0.3573 0.3573  1 Se 2.51
Se 0.8517 0.3573 0.3573  1 Se 2.51
Sm 0.5000 0.0030 0.0030  4 O 2.28-2.32

=====

# 7
Density functional theory data (PBE) for PrNd3Te3O4 after structural relaxation.

The total energy comes out at -76.47 eV/cell.

Lattice parameters (Å, degrees): 8.9067 7.0002 7.0002 34.09 90.00 90.00
With the nearest neighbours (Å) after each atom.
Positions (direct):
Nd 0.5000 0.0088 0.0088  4 O 2.31-2.41
Nd 0.2619 0.6751 0.6751  4 O 2.36-2.46
Nd 0.7381 0.6751 0.6751  4 O 2.36-2.46
O 0.2574 0.0884 0.0884  3 Nd 2.36-2.41, 1 Pr 2.44
O 0.7426 0.0884 0.0884  3 Nd 2.36-2.41, 1 Pr 2.44
O 0.5000 0.5878 0.5878  4 Nd 2.31-2.42
O 0.0000 0.6173 0.6173  2 Pr 2.39, 2 Nd 2.46
Pr 0.0000 0.0253 0.0253  4 O 2.39-2.44
Te 0.5000 0.3091 0.3091  2 Te 3.10, 6 Nd 3.37-3.45
Te 0.1606 0.3596 0.3596  2 Te 2.86-3.10
Te 0.8394 0.3596 0.3596  2 Te 2.86-3.10

=====

# 8
Density functional theory data (PBE) for PrNdTeO2 after structural relaxation.

The excess energy over the best structure of this formula in the dataset is 0 meV per atom. The total energy comes out at -36.93 eV/cell.

Lattice parameters (Å, degrees): 7.0558 7.0558 7.0558 146.56 146.56 48.02
With the nearest neighbours (Å) after each atom.
Positions (direct):
Nd 0.6593 0.6593 0.0000  4 O 2.34
O 0.7491 0.2491 0.5000  2 Nd 2.34, 2 Pr 2.36
O 0.2491 0.7491 0.5000  2 Nd 2.34, 2 Pr 2.36
Pr 0.3420 0.3420 0.0000  4 O 2.36
Te 0.0004 0.0004 0.0000  4 Pr 3.52, 4 Nd 3.53, 8 O 3.79-3.82

=====

# 9
Density functional theory data (PBE) for PrNdTeO2 after structural relaxation.

The excess energy over the best structure of this formula in the dataset is 77 meV per atom. The total energy comes out at -36.55 eV/cell.

Lattice parameters (Å, degrees): 4.0642 4.0642 7.4437 90.00 90.00 120.00
With the nearest neighbours (Å) after each atom.
Positions (direct):
Nd 0.0000 0.0000 0.3016  4 O 2.37-2.41
O 0.6667 0.3333 0.3779  1 Pr 2.39, 3 Nd 2.41
O 0.0000 0.0000 0.6195  1 Nd 2.37, 3 Pr 2.42
Pr 0.6667 0.3333 0.6991  4 O 2.39-2.42
Te 0.3333 0.6667 0.0019  3 Nd 3.24, 3 Pr 3.25

=====

# 10
Density functional theory data (PBE) for NdPt2O4 after structural relaxation.

The total energy comes out at -86.23 eV/cell.

Lattice parameters (Å, degrees): 6.6000 6.6000 6.6000 120.02 89.97 120.02
With the nearest neighbours (Å) after each atom.
Positions (direct):
Nd 0.0000 0.0000 0.0000  4 O 2.31
Nd 0.7500 0.5000 0.2500  4 O 2.31
O 0.6072 0.2147 0.3925  3 Pt 2.18, 1 Nd 2.31
O 0.1778 0.7853 0.3925  3 Pt 2.18, 1 Nd 2.31
O 0.6075 0.7853 0.3928  3 Pt 2.18, 1 Nd 2.31
O 0.1425 0.2853 0.4278  3 Pt 2.18, 1 Nd 2.31
O 0.6075 0.2147 0.8222  3 Pt 2.18, 1 Nd 2.31
O 0.1425 0.7147 0.8572  3 Pt 2.18, 1 Nd 2.31
O 0.1428 0.2853 0.8575  3 Pt 2.18, 1 Nd 2.31
O 0.5722 0.7147 0.8575  3 Pt 2.18, 1 Nd 2.31
Pt 0.3750 0.7500 0.1250  6 O 2.18
Pt 0.3750 0.7500 0.6250  6 O 2.18
Pt 0.3750 0.2500 0.6250  6 O 2.18
Pt 0.8750 0.2500 0.6250  6 O 2.18

=====

# 11
Density functional theory data (PBE) for Nd2Pt2O7 after structural relaxation.

The total energy comes out at -154.42 eV/cell.

Lattice parameters (Å, degrees): 7.3724 7.3724 7.3724 120.00 90.00 120.00
With the nearest neighbours (Å) after each atom.
Positions (direct):
Nd 0.0000 0.0000 0.0000  8 O 2.26-2.51
Nd 0.5000 0.0000 0.0000  8 O 2.26-2.51
Nd 0.5000 0.5000 0.0000  8 O 2.26-2.51
Nd 0.5000 0.5000 0.5000  8 O 2.26-2.51
O 0.3750 0.2500 0.1250  4 Nd 2.26
O 0.9141 0.3282 0.1641  2 Pt 2.05
O 0.9141 0.7500 0.1641  2 Pt 2.05
O 0.3359 0.7500 0.1641  2 Pt 2.05
O 0.0859 0.2500 0.4141  2 Pt 2.05
O 0.6641 0.2500 0.4141  2 Pt 2.05
O 0.6641 0.8282 0.4141  2 Pt 2.05
O 0.3359 0.1718 0.5859  2 Pt 2.05
O 0.3359 0.7500 0.5859  2 Pt 2.05
O 0.9141 0.7500 0.5859  2 Pt 2.05
O 0.0859 0.2500 0.8359  2 Pt 2.05
O 0.6641 0.2500 0.8359  2 Pt 2.05
O 0.0859 0.6718 0.8359  2 Pt 2.05
O 0.6250 0.7500 0.8750  4 Nd 2.26
Pt 0.0000 0.5000 0.0000  6 O 2.05
Pt 0.0000 0.0000 0.5000  6 O 2.05
Pt 0.5000 0.0000 0.5000  6 O 2.05
Pt 0.0000 0.5000 0.5000  6 O 2.05

=====

# 12
Density functional theory data (PBE) for RbNdSO after structural relaxation.

The excess energy over the best structure of this formula in the dataset is 0 meV per atom. The total energy comes out at -94.41 eV/cell.

Lattice parameters (Å, degrees): 7.8866 7.6621 6.7582 90.00 104.25 90.00
With the nearest neighbours (Å) after each atom.
Positions (direct):
Nd 0.5294 0.6272 0.2305  3 O 2.35-2.37
Nd 0.4706 0.1272 0.2695  3 O 2.35-2.37
Nd 0.5294 0.8728 0.7305  3 O 2.35-2.37
Nd 0.4706 0.3728 0.7695  3 O 2.35-2.37
O 0.6039 0.3521 0.1197  3 Nd 2.35-2.37
O 0.3961 0.8521 0.3803  3 Nd 2.35-2.37
O 0.6039 0.1479 0.6197  3 Nd 2.35-2.37
O 0.3961 0.6479 0.8803  3 Nd 2.35-2.37
Rb 0.0820 0.7435 0.0101  2 O 2.92-3.17
Rb 0.9180 0.2435 0.4899  2 O 2.92-3.17
Rb 0.0820 0.7565 0.5101  2 O 2.92-3.17
Rb 0.9180 0.2565 0.9899  2 O 2.92-3.17
S 0.7466 0.9110 0.1542  3 Nd 2.89-2.99
S 0.2534 0.4110 0.3458  3 Nd 2.89-2.99
S 0.7466 0.5890 0.6542  3 Nd 2.89-2.99
S 0.2534 0.0890 0.8458  3 Nd 2.89-2.99

=====

# 13
Density functional theory data (PBE) for RbNdSO after structural relaxation.

The excess energy over the best structure of this formula in the dataset is 76 meV per atom. The total energy comes out at -23.30 eV/cell.

Lattice parameters (Å, degrees): 7.5770 7.5770 7.5770 29.75 29.75 29.75
With the nearest neighbours (Å) after each atom.
Positions (direct):
Nd 0.4876 0.4876 0.4876  3 O 2.45
O 0.7756 0.7756 0.7756  3 Nd 2.45
Rb 0.0032 0.0032 0.0032  3 S 3.17, 3 O 3.21
S 0.2336 0.2336 0.2336  3 Nd 2.83, 3 Rb 3.17

=====

# 14
Density functional theory data (PBE) for RbNdSO after structural relaxation.

The excess energy over the best structure of this formula in the dataset is 104 meV per atom. The total energy comes out at -46.37 eV/cell.

Lattice parameters (Å, degrees): 3.8853 3.8853 14.3944 90.00 90.00 120.00
With the nearest neighbours (Å) after each atom.
Positions (direct):
Nd 0.0000 0.0000 0.0000  6 S 2.80
Nd 0.0000 0.0000 0.5000  6 O 2.50
O 0.3333 0.6667 0.4231  3 Nd 2.50
O 0.6667 0.3333 0.5769  3 Nd 2.50
Rb 0.6667 0.3333 0.2800  3 O 3.05, 3 S 3.26
Rb 0.3333 0.6667 0.7200  3 O 3.05, 3 S 3.26
S 0.3333 0.6667 0.1159  3 Nd 2.80
S 0.6667 0.3333 0.8841  3 Nd 2.80

=====

# 15
Density functional theory data (PBE) for RbNdSO after structural relaxation.

The excess energy over the best structure of this formula in the dataset is 94 meV per atom. The total energy comes out at -46.46 eV/cell.

Lattice parameters (Å, degrees): 4.5957 8.3645 6.7096 90.00 90.00 90.00
With the nearest neighbours (Å) after each atom.
Positions (direct):
Nd 0.5000 0.8687 0.0441  2 O 2.20-2.21
Nd 0.5000 0.1313 0.5441  2 O 2.20-2.21
O 0.5000 0.0920 0.2184  2 Nd 2.20-2.21
O 0.5000 0.9080 0.7184  2 Nd 2.20-2.21
Rb 0.0000 0.3083 0.1077  2 O 3.02, 2 S 3.27-3.28
Rb 0.0000 0.6917 0.6077  2 O 3.02, 2 S 3.27-3.28
S 0.0000 0.7004 0.1208  2 Nd 2.74
S 0.0000 0.2996 0.6208  2 Nd 2.74

=====

# 16
Density functional theory data (PBE) for RbNdSO after structural relaxation.

The excess energy over the best structure of this formula in the dataset is 266 meV per atom. The total energy comes out at -45.08 eV/cell.

Lattice parameters (Å, degrees): 4.2547 4.2547 10.0783 90.00 90.00 90.00
With the nearest neighbours (Å) after each atom.
Positions (direct):
Nd 0.2500 0.2500 0.1050  4 O 2.38
Nd 0.7500 0.7500 0.8950  4 O 2.38
O 0.7500 0.2500 0.0000  4 Nd 2.38
O 0.2500 0.7500 0.0000  4 Nd 2.38
Rb 0.7500 0.2500 0.5000  4 Rb 3.01, 4 S 3.13
Rb 0.2500 0.7500 0.5000  4 Rb 3.01, 4 S 3.13
S 0.7500 0.7500 0.2718  4 Rb 3.13, 4 Nd 3.45, 4 O 3.47
S 0.2500 0.2500 0.7282  4 Rb 3.13, 4 Nd 3.45, 4 O 3.47

=====

# 17
Density functional theory data (PBE) for RbNdSO after structural relaxation.

The excess energy over the best structure of this formula in the dataset is 188 meV per atom. The total energy comes out at -91.40 eV/cell.

Lattice parameters (Å, degrees): 8.4622 9.5718 5.7292 90.00 90.00 90.00
With the nearest neighbours (Å) after each atom.
Positions (direct):
Nd 0.9372 0.3548 0.0622  1 O 2.06
Nd 0.4372 0.6452 0.0622  1 O 2.06
Nd 0.5628 0.3548 0.5622  1 O 2.06
Nd 0.0628 0.6452 0.5622  1 O 2.06
O 0.0482 0.1627 0.0624  1 Nd 2.06
O 0.5482 0.8373 0.0624  1 Nd 2.06
O 0.4518 0.1627 0.5624  1 Nd 2.06
O 0.9518 0.8373 0.5624  1 Nd 2.06
Rb 0.3838 0.0959 0.0635  4 O 2.84-3.00
Rb 0.8838 0.9041 0.0635  4 O 2.84-3.00
Rb 0.1162 0.0959 0.5635  4 O 2.84-3.00
Rb 0.6162 0.9041 0.5635  4 O 2.84-3.00
S 0.6010 0.3842 0.0619  4 Nd 2.86-2.90
S 0.1010 0.6158 0.0619  4 Nd 2.86-2.90
S 0.8990 0.3842 0.5619  4 Nd 2.86-2.90
S 0.3990 0.6158 0.5619  4 Nd 2.86-2.90

=====

# 18
Density functional theory data (PBE) for RbNdSO after structural relaxation.

The excess energy over the best structure of this formula in the dataset is 95 meV per atom. The total energy comes out at -46.44 eV/cell.

Lattice parameters (Å, degrees): 3.8836 3.8836 14.4508 90.00 90.00 120.00
With the nearest neighbours (Å) after each atom.
Positions (direct):
Nd 0.0000 0.0000 0.2203  3 O 2.49
Nd 0.0000 0.0000 0.7797  3 O 2.49
O 0.3333 0.6667 0.1452  3 Nd 2.49
O 0.3333 0.6667 0.8548  3 Nd 2.49
Rb 0.6667 0.3333 0.0000  6 O 3.07
Rb 0.3333 0.6667 0.5000  6 S 3.26
S 0.6667 0.3333 0.3361  3 Nd 2.80
S 0.6667 0.3333 0.6639  3 Nd 2.80

=====

# 19
Density functional theory data (PBE) for RbNdSO after structural relaxation.

The excess energy over the best structure of this formula in the dataset is 14 meV per atom. The total energy comes out at -94.18 eV/cell.

Lattice parameters (Å, degrees): 5.9128 5.9063 11.8519 90.00 104.48 90.00
With the nearest neighbours (Å) after each atom.
Positions (direct):
Nd 0.0490 0.8616 0.0980  4 O 2.37-2.38
Nd 0.5484 0.3616 0.0981  4 O 2.37-2.38
Nd 0.4516 0.8616 0.9019  4 O 2.37-2.38
Nd 0.9510 0.3616 0.9020  4 O 2.37-2.38
O 0.7500 0.1115 0.0001  4 Nd 2.37-2.38
O 0.7500 0.6112 0.0002  4 Nd 2.37
O 0.2500 0.1112 0.9998  4 Nd 2.37
O 0.2500 0.6115 0.9999  4 Nd 2.37-2.38
Rb 0.9455 0.1132 0.3953  4 S 3.22
Rb 0.4466 0.6132 0.3964  4 S 3.22-3.23
Rb 0.5534 0.1132 0.6036  4 S 3.22-3.23
Rb 0.0545 0.6132 0.6047  4 S 3.22
S 0.8901 0.6136 0.2840  2 Nd 2.99, 4 Rb 3.22-3.23, 1 O 3.26
S 0.3891 0.1140 0.2841  2 Nd 2.99, 4 Rb 3.22-3.23, 1 O 3.26
S 0.6109 0.6140 0.7159  2 Nd 2.99, 4 Rb 3.22-3.23, 1 O 3.26
S 0.1099 0.1136 0.7160  2 Nd 2.99, 4 Rb 3.22-3.23, 1 O 3.26

=====

# 20
Density functional theory data (PBE) for RbNdSO after structural relaxation.

The excess energy over the best structure of this formula in the dataset is 78 meV per atom. The total energy comes out at -46.58 eV/cell.

Lattice parameters (Å, degrees): 3.8841 3.8841 14.4816 90.00 90.00 120.00
With the nearest neighbours (Å) after each atom.
Positions (direct):
Nd 0.0000 0.0000 0.0189  3 O 2.45
Nd 0.0000 0.0000 0.5189  3 O 2.45
O 0.3333 0.6667 0.0867  3 Nd 2.45
O 0.6667 0.3333 0.5867  3 Nd 2.45
Rb 0.6667 0.3333 0.2456  3 S 3.15, 3 O 3.21
Rb 0.3333 0.6667 0.7456  3 S 3.15, 3 O 3.21
S 0.3333 0.6667 0.3988  3 Nd 2.84, 3 Rb 3.15
S 0.6667 0.3333 0.8988  3 Nd 2.84, 3 Rb 3.15

=====

Total magnetization: 0.00, 0.00, 0.00, 0.00, 0.00, 0.00, 0.00, 0.00, 0.00, 1.80, 0.00, 0.00, 0.00, 0.00, 0.00, 0.00, 0.00, 0.00, 0.00, 0.00 (μB per formula unit)